(1)
Computed, not measured: a geometry-optimized MnTl7 structure at the GGA-PBE level of DFT.

Computed properties:
**Formation energy**: 0.226 eV/atom
**Magnetic moment**: 17.40 μB per cell

Cell: 9.669 9.669 9.669 Å, 90.00 90.00 90.00°
Space group Fm-3m (No. 225)
Unique sites:
Mn (0.000, 0.000, 0.000) x4
Tl (0.000, 0.000, 0.500) x4
Tl (0.000, 0.250, 0.250) x24

(2)
Computed, not measured: a geometry-optimized MnTl2 structure at the GGA-PBE level of DFT.

Computed properties:
**Formation energy**: 0.769 eV/atom
**Magnetic moment**: 17.89 μB per cell

Cell: 6.1655 6.1655 10.5090 Å, 90.00 90.00 120.00°
Space group P6_3/mmc (No. 194)
Unique sites:
Mn (0.3333, 0.6667, 0.0119) x4
Tl (0.0000, 0.0000, 0.0000) x2
Tl (0.1700, 0.3401, 0.7500) x6

(3)
Computed, not measured: a geometry-optimized Mn3Tl structure at the GGA-PBE level of DFT.

Computed properties:
**Formation energy**: 0.547 eV/atom
**Magnetic moment**: 3.51 μB per cell

Cell: 3.0360 3.0360 8.4367 Å, 90.00 90.00 120.00°
Space group P-6m2 (No. 187)
Unique sites:
Mn (0.0000, 0.0000, 0.0000) x1
Mn (0.3333, 0.6667, 0.2116) x2
Tl (0.0000, 0.0000, 0.5000) x1

(4)
Computed, not measured: a geometry-optimized MnTl2 structure at the GGA-PBE level of DFT.

Computed properties:
**Formation energy**: 0.442 eV/atom
**Magnetic moment**: 12.20 μB per cell

Cell: 8.2991 8.2991 3.6482 Å, 90.00 90.00 120.00°
Space group P-62m (No. 189)
Unique sites:
Mn (0.0000, 0.0000, 0.0000) x1
Mn (0.3333, 0.6667, 0.5000) x2
Tl (0.0000, 0.2732, 0.5000) x3
Tl (0.0000, 0.6060, 0.0000) x3

(5)
Computed, not measured: a geometry-optimized Mn2Tl structure at the GGA-PBE level of DFT.

Computed properties:
**Formation energy**: 0.638 eV/atom
**Magnetic moment**: 7.43 μB per cell

Cell: 4.5818 4.5818 3.0316 Å, 90.00 90.00 120.00°
Space group P-3m1 (No. 164)
Unique sites:
Mn (0.3333, 0.6667, 0.2078) x2
Tl (0.0000, 0.0000, 0.5000) x1

(6)
Computed, not measured: a geometry-optimized MnTl structure at the GGA-PBE level of DFT.

Computed properties:
**Formation energy**: 0.716 eV/atom
**Magnetic moment**: 14.37 μB per cell

Cell: 5.621 5.621 5.621 Å, 90.00 90.00 90.00°
Space group Fm-3m (No. 225)
Unique sites:
Mn (0.000, 0.000, 0.000) x4
Tl (0.000, 0.000, 0.500) x4

(7)
Computed, not measured: a geometry-optimized MnTl3 structure at the GGA-PBE level of DFT.

Computed properties:
**Formation energy**: 0.333 eV/atom
**Magnetic moment**: 11.74 μB per cell

Cell: 3.4537 3.4537 30.0945 Å, 90.00 90.00 120.00°
Space group R-3m (No. 166, hexagonal axes)
Unique sites:
Mn (0.0000, 0.0000, 0.0000) x3
Tl (0.0000, 0.0000, 0.2607) x6
Tl (0.0000, 0.0000, 0.5000) x3

(8)
Computed, not measured: a geometry-optimized Mn2Tl structure at the GGA-PBE level of DFT.

Computed properties:
**Formation energy**: 0.531 eV/atom
**Magnetic moment**: 26.59 μB per cell

Cell: 5.792 4.176 8.519 Å, 90.00 90.00 90.00°
Space group Pnma (No. 62)
Unique sites:
Mn (0.106, 0.250, 0.240) x4
Mn (0.124, 0.250, 0.569) x4
Tl (0.151, 0.250, 0.897) x4

(9)
Computed, not measured: a geometry-optimized MnTl structure at the GGA-PBE level of DFT.

Computed properties:
**Formation energy**: 0.566 eV/atom
**Magnetic moment**: 3.89 μB per cell

Cell: 3.2867 3.2867 4.4972 Å, 90.00 90.00 120.00°
Space group P-6m2 (No. 187)
Unique sites:
Mn (0.0000, 0.0000, 0.0000) x1
Tl (0.3333, 0.6667, 0.5000) x1

(10)
Computed, not measured: a geometry-optimized MnTl structure at the GGA-PBE level of DFT.

Computed properties:
**Formation energy**: 0.602 eV/atom
**Magnetic moment**: 0.00 μB per cell

Cell: 3.7058 3.7058 20.4438 Å, 90.00 90.00 120.00°
Space group R-3m (No. 166, hexagonal axes)
Unique sites:
Mn (0.0000, 0.0000, 0.1625) x6
Tl (0.0000, 0.0000, 0.3980) x6

(11)
Computed, not measured: a geometry-optimized MnTl2 structure at the GGA-PBE level of DFT.

Computed properties:
**Formation energy**: 0.342 eV/atom
**Magnetic moment**: 14.54 μB per cell

Cell: 6.957 6.957 5.866 Å, 90.00 90.00 90.00°
Space group I4/mcm (No. 140)
Unique sites:
Mn (0.000, 0.000, 0.250) x4
Tl (0.173, 0.327, 0.000) x8

(12)
Computed, not measured: a geometry-optimized Mn7Tl6 structure at the GGA-PBE level of DFT.

Computed properties:
**Formation energy**: 0.506 eV/atom
**Magnetic moment**: 77.80 μB per cell

Cell: 5.5887 5.5887 29.3087 Å, 90.00 90.00 120.00°
Space group R-3m (No. 166, hexagonal axes)
Unique sites:
Mn (0.0000, 0.0000, 0.0000) x3
Mn (0.0062, 0.5031, 0.5871) x18
Tl (0.0000, 0.0000, 0.1678) x6
Tl (0.0000, 0.0000, 0.3378) x6
Tl (0.0000, 0.0000, 0.4421) x6